# 1
A plane-wave DFT calculation with PBEsol was carried out for LaPd2WSe after structural relaxation.

Lattice parameters (Å, degrees): 4.689 4.689 5.739 90.00 90.00 90.00
Positions (direct):
La 0.000 0.000 0.000
Pd 0.000 0.500 0.500
Pd 0.500 0.000 0.500
W 0.000 0.000 0.500
Se 0.500 0.500 0.000

Formation energy (no corrections), eV per atom: 0.66
Spin magnetization, μB per formula unit: 0.0
Space group: P4/mmm
Total energy, eV per atom: -6.32

---

# 2
A plane-wave DFT calculation with PBEsol was carried out for La3SiPd5 after structural relaxation.

Lattice parameters (Å, degrees): 8.387 8.387 8.387 127.61 78.17 126.48
Positions (direct):
La 0.119 0.869 0.250
La 0.276 0.227 0.049
La 0.322 0.773 0.549
La 0.678 0.227 0.451
La 0.724 0.773 0.951
La 0.881 0.131 0.750
Si 0.287 0.537 0.750
Si 0.713 0.463 0.250
Pd 0.044 0.239 0.410
Pd 0.044 0.634 0.805
Pd 0.329 0.239 0.695
Pd 0.329 0.634 0.090
Pd 0.500 0.000 0.000
Pd 0.500 0.500 0.500
Pd 0.671 0.366 0.910
Pd 0.671 0.761 0.305
Pd 0.956 0.366 0.195
Pd 0.956 0.761 0.590

Formation energy (no corrections), eV per atom: -0.88
Spin magnetization, μB per formula unit: 0.0
Space group: Imma
Total energy, eV per atom: -6.62

---

# 3
A plane-wave DFT calculation with PBEsol was carried out for La2SiPd2 after structural relaxation.

Lattice parameters (Å, degrees): 5.617 5.617 7.518 90.00 90.00 90.00
Positions (direct):
La 0.000 0.500 0.250
La 0.000 0.500 0.750
La 0.500 0.000 0.250
La 0.500 0.000 0.750
Si 0.000 0.000 0.000
Si 0.500 0.500 0.500
Pd 0.000 0.000 0.331
Pd 0.000 0.000 0.669
Pd 0.500 0.500 0.169
Pd 0.500 0.500 0.831

Formation energy (no corrections), eV per atom: -0.63
Spin magnetization, μB per formula unit: 0.0
Space group: I4/mmm
Total energy, eV per atom: -6.30

---

# 4
A plane-wave DFT calculation with PBEsol was carried out for La3Si4Pd4 after structural relaxation.

Lattice parameters (Å, degrees): 12.656 12.656 12.656 161.03 160.68 27.20
Positions (direct):
La 0.000 0.000 0.000
La 0.353 0.853 0.500
La 0.647 0.147 0.500
Si 0.198 0.698 0.500
Si 0.452 0.452 0.000
Si 0.548 0.548 0.000
Si 0.802 0.302 0.500
Pd 0.098 0.598 0.500
Pd 0.249 0.249 0.000
Pd 0.751 0.751 0.000
Pd 0.902 0.402 0.500

Formation energy (no corrections), eV per atom: -0.98
Spin magnetization, μB per formula unit: 0.0
Space group: Immm
Total energy, eV per atom: -6.69

---

# 5
A plane-wave DFT calculation with PBEsol was carried out for LaSi2Pd2 after structural relaxation.

Lattice parameters (Å, degrees): 4.239 4.239 9.895 90.00 90.00 90.00
Positions (direct):
La 0.000 0.000 0.000
La 0.500 0.500 0.500
Si 0.000 0.000 0.379
Si 0.000 0.000 0.621
Si 0.500 0.500 0.121
Si 0.500 0.500 0.879
Pd 0.000 0.500 0.250
Pd 0.000 0.500 0.750
Pd 0.500 0.000 0.250
Pd 0.500 0.000 0.750

Formation energy (no corrections), eV per atom: -0.99
Spin magnetization, μB per formula unit: 0.0
Space group: I4/mmm
Total energy, eV per atom: -6.74

---

# 6
A plane-wave DFT calculation with PBEsol was carried out for LaSi2PdW after structural relaxation.

Lattice parameters (Å, degrees): 5.141 5.141 4.865 90.00 90.00 90.00
Positions (direct):
La 0.000 0.000 0.000
Si 0.000 0.500 0.000
Si 0.500 0.000 0.000
Pd 0.500 0.500 0.500
W 0.000 0.000 0.500

Formation energy (no corrections), eV per atom: 2.36
Spin magnetization, μB per formula unit: 0.0
Space group: P4/mmm
Total energy, eV per atom: -4.96

---

# 7
A plane-wave DFT calculation with PBEsol was carried out for LaSnPd after structural relaxation.

Lattice parameters (Å, degrees): 7.565 4.716 7.909 90.00 90.00 90.00
Positions (direct):
La 0.016 0.250 0.197
La 0.484 0.750 0.697
La 0.516 0.250 0.303
La 0.984 0.750 0.803
Sn 0.181 0.250 0.587
Sn 0.319 0.750 0.087
Sn 0.681 0.250 0.913
Sn 0.819 0.750 0.413
Pd 0.200 0.750 0.414
Pd 0.300 0.250 0.914
Pd 0.700 0.750 0.086
Pd 0.800 0.250 0.586

Spin magnetization, μB per formula unit: 0.0
Energy of formation from the pure elements, eV per atom: -0.9341
Space group: Pnma
Total energy, eV per atom: -6.12

---

# 8
A plane-wave DFT calculation with PBEsol was carried out for LaSnPd after structural relaxation.

Lattice parameters (Å, degrees): 7.585 7.585 4.171 90.00 90.00 120.00
Positions (direct):
La 0.000 0.416 0.000
La 0.416 0.000 0.000
La 0.584 0.584 0.000
Sn 0.000 0.752 0.500
Sn 0.248 0.248 0.500
Sn 0.752 0.000 0.500
Pd 0.000 0.000 0.000
Pd 0.333 0.667 0.500
Pd 0.667 0.333 0.500

Spin magnetization, μB per formula unit: 0.0
Energy of formation from the pure elements, eV per atom: -0.9628
Space group: P-62m
Total energy, eV per atom: -6.15

---

# 9
A plane-wave DFT calculation with PBEsol was carried out for LaSn3Pd after structural relaxation.

Lattice parameters (Å, degrees): 5.150 5.150 5.150 90.00 90.00 90.00
Positions (direct):
La 0.000 0.000 0.000
Sn 0.000 0.500 0.500
Sn 0.500 0.000 0.500
Sn 0.500 0.500 0.000
Pd 0.500 0.500 0.500

Spin magnetization, μB per formula unit: 0.0
Energy of formation from the pure elements, eV per atom: -0.2638
Space group: Pm-3m
Total energy, eV per atom: -5.08

---

# 10
A plane-wave DFT calculation with PBEsol was carried out for La3SnPd after structural relaxation.

Lattice parameters (Å, degrees): 5.510 5.510 5.510 90.00 90.00 90.00
Positions (direct):
La 0.000 0.000 0.500
La 0.000 0.500 0.000
La 0.500 0.000 0.000
Sn 0.500 0.500 0.500
Pd 0.000 0.000 0.000

Spin magnetization, μB per formula unit: 0.0
Energy of formation from the pure elements, eV per atom: -0.3519
Space group: Pm-3m
Total energy, eV per atom: -5.60

---

# 11
A plane-wave DFT calculation with PBEsol was carried out for LaTa2Pd after structural relaxation.

Lattice parameters (Å, degrees): 6.642 6.642 6.642 90.00 90.00 90.00
Positions (direct):
La 0.000 0.000 0.000
La 0.000 0.500 0.500
La 0.500 0.000 0.500
La 0.500 0.500 0.000
Ta 0.250 0.250 0.250
Ta 0.250 0.250 0.750
Ta 0.250 0.750 0.250
Ta 0.250 0.750 0.750
Ta 0.750 0.250 0.250
Ta 0.750 0.250 0.750
Ta 0.750 0.750 0.250
Ta 0.750 0.750 0.750
Pd 0.000 0.000 0.500
Pd 0.000 0.500 0.000
Pd 0.500 0.000 0.000
Pd 0.500 0.500 0.500

Spin magnetization, μB per formula unit: 0.0
Energy of formation from the pure elements, eV per atom: 0.3512
Space group: Fm-3m
Total energy, eV per atom: -8.75

---

# 12
A plane-wave DFT calculation with PBEsol was carried out for La2TaPd after structural relaxation.

Lattice parameters (Å, degrees): 7.241 7.241 7.241 90.00 90.00 90.00
Positions (direct):
La 0.250 0.250 0.250
La 0.250 0.250 0.750
La 0.250 0.750 0.250
La 0.250 0.750 0.750
La 0.750 0.250 0.250
La 0.750 0.250 0.750
La 0.750 0.750 0.250
La 0.750 0.750 0.750
Ta 0.000 0.000 0.000
Ta 0.000 0.500 0.500
Ta 0.500 0.000 0.500
Ta 0.500 0.500 0.000
Pd 0.000 0.000 0.500
Pd 0.000 0.500 0.000
Pd 0.500 0.000 0.000
Pd 0.500 0.500 0.500

Spin magnetization, μB per formula unit: 1.0
Energy of formation from the pure elements, eV per atom: 0.2206
Space group: Fm-3m
Total energy, eV per atom: -7.08

---

# 13
A plane-wave DFT calculation with PBEsol was carried out for LaTaPd3 after structural relaxation.

Lattice parameters (Å, degrees): 4.928 4.928 4.928 90.00 90.00 90.00
Positions (direct):
La 0.000 0.000 0.000
Ta 0.500 0.500 0.500
Pd 0.000 0.000 0.500
Pd 0.000 0.500 0.000
Pd 0.500 0.000 0.000

Spin magnetization, μB per formula unit: 2.8
Energy of formation from the pure elements, eV per atom: 1.3105
Space group: Pm-3m
Total energy, eV per atom: -5.84

---

# 14
A plane-wave DFT calculation with PBEsol was carried out for LaTlTcPd2 after structural relaxation.

Lattice parameters (Å, degrees): 5.069 5.069 4.844 90.00 90.00 90.00
Positions (direct):
La 0.000 0.000 0.000
Tl 0.500 0.500 0.500
Tc 0.000 0.000 0.500
Pd 0.000 0.500 0.000
Pd 0.500 0.000 0.000

Spin magnetization, μB per formula unit: 1.1
Energy of formation from the pure elements, eV per atom: 1.1128
Space group: P4/mmm
Total energy, eV per atom: -5.12

---

# 15
A plane-wave DFT calculation with PBEsol was carried out for La2TePd2 after structural relaxation.

Lattice parameters (Å, degrees): 7.799 7.799 3.929 90.00 90.00 90.00
Positions (direct):
La 0.179 0.321 0.000
La 0.321 0.821 0.000
La 0.679 0.179 0.000
La 0.821 0.679 0.000
Te 0.000 0.000 0.500
Te 0.500 0.500 0.500
Pd 0.123 0.623 0.500
Pd 0.377 0.123 0.500
Pd 0.623 0.877 0.500
Pd 0.877 0.377 0.500

Formation energy (no corrections), eV per atom: -1.05
Spin magnetization, μB per formula unit: 0.0
Space group: P4/mbm
Total energy, eV per atom: -6.28

---

# 16
A plane-wave DFT calculation with PBEsol was carried out for LaTePdW2 after structural relaxation.

Lattice parameters (Å, degrees): 4.898 4.898 4.962 90.00 90.00 90.00
Positions (direct):
La 0.000 0.000 0.000
Te 0.500 0.500 0.500
Pd 0.000 0.000 0.500
W 0.000 0.500 0.000
W 0.500 0.000 0.000

Formation energy (no corrections), eV per atom: 2.38
Spin magnetization, μB per formula unit: 0.1
Space group: P4/mmm
Total energy, eV per atom: -6.10

---

# 17
A plane-wave DFT calculation with PBEsol was carried out for La2TiPd2 after structural relaxation.

Lattice parameters (Å, degrees): 5.704 5.704 7.733 90.00 90.00 90.00
Positions (direct):
La 0.000 0.500 0.250
La 0.000 0.500 0.750
La 0.500 0.000 0.250
La 0.500 0.000 0.750
Ti 0.000 0.000 0.000
Ti 0.500 0.500 0.500
Pd 0.000 0.000 0.331
Pd 0.000 0.000 0.669
Pd 0.500 0.500 0.169
Pd 0.500 0.500 0.831

Spin magnetization, μB per formula unit: 1.4
Energy of formation from the pure elements, eV per atom: -0.1896
Space group: I4/mmm
Total energy, eV per atom: -6.38

---

# 18
A plane-wave DFT calculation with PBEsol was carried out for LaTlPd3 after structural relaxation.

Lattice parameters (Å, degrees): 4.968 4.968 4.968 90.00 90.00 90.00
Positions (direct):
La 0.000 0.000 0.000
Tl 0.500 0.500 0.500
Pd 0.000 0.500 0.500
Pd 0.500 0.000 0.500
Pd 0.500 0.500 0.000

Spin magnetization, μB per formula unit: 0.0
Energy of formation from the pure elements, eV per atom: 0.1215
Space group: Pm-3m
Total energy, eV per atom: -5.05

---

# 19
A plane-wave DFT calculation with PBEsol was carried out for LaTlPd after structural relaxation.

Lattice parameters (Å, degrees): 7.839 7.839 3.994 90.00 90.00 120.00
Positions (direct):
La 0.000 0.592 0.000
La 0.408 0.408 0.000
La 0.592 0.000 0.000
Tl 0.000 0.257 0.500
Tl 0.257 0.000 0.500
Tl 0.743 0.743 0.500
Pd 0.000 0.000 0.000
Pd 0.333 0.667 0.500
Pd 0.667 0.333 0.500

Spin magnetization, μB per formula unit: 0.0
Energy of formation from the pure elements, eV per atom: -0.7024
Space group: P-62m
Total energy, eV per atom: -5.35

---

# 20
A plane-wave DFT calculation with PBEsol was carried out for LaPdW3 after structural relaxation.

Lattice parameters (Å, degrees): 4.696 4.696 4.696 90.00 90.00 90.00
Positions (direct):
La 0.000 0.000 0.000
Pd 0.500 0.500 0.500
W 0.000 0.000 0.500
W 0.000 0.500 0.000
W 0.500 0.000 0.000

Spin magnetization, μB per formula unit: 0.0
Energy of formation from the pure elements, eV per atom: 2.9287
Space group: Pm-3m
Total energy, eV per atom: -7.62